(1)
VASP calculation (GGA-PBE) on a relaxed structure of CeEuTmAl.

Values from the calculation:
D(E_F) ... 1.905 states/eV/atom
DFT formation energy ... 0.1 kcal/mol of atoms
Density ... 7.39 g/cm³
Spin magnetization ... 8.8 Bohr magnetons per cell

a b c (Å): 5.373 5.373 5.373
angles (deg): 60.00 60.00 60.00
Positions (direct):
Ce 0.000 0.000 0.000
Eu 0.250 0.250 0.250
Tm 0.500 0.500 0.500
Al 0.750 0.750 0.750

---

(2)
VASP calculation (GGA-PBE) on a relaxed structure of CeAlF.

Values from the calculation:
D(E_F) ... 2.004 states/eV/atom
Uncorrected energy ... -0.2026 hartree per atom
Density ... 5.69 g/cm³
Spin magnetization ... 2.9 Bohr magnetons per cell

a b c (Å): 3.350 3.350 9.677
angles (deg): 90.00 90.00 90.00
Positions (direct):
Ce 0.250 0.250 0.197
Ce 0.750 0.750 0.803
Al 0.250 0.250 0.573
Al 0.750 0.750 0.427
F 0.250 0.250 0.928
F 0.750 0.750 0.072

---

(3)
VASP calculation (GGA-PBE) on a relaxed structure of CeAl2F8.

Values from the calculation:
D(E_F) ... 0.691 states/eV/atom
Uncorrected energy ... -0.2211 hartree per atom
Density ... 3.61 g/cm³
Spin magnetization ... 1.5 Bohr magnetons per cell

a b c (Å): 3.698 7.052 7.055
angles (deg): 60.02 89.81 90.00
Positions (direct):
Ce 0.000 0.000 0.000
Al 0.233 0.334 0.333
Al 0.767 0.666 0.667
F 0.230 0.193 0.616
F 0.232 0.191 0.192
F 0.232 0.617 0.190
F 0.269 0.666 0.667
F 0.731 0.334 0.333
F 0.768 0.383 0.810
F 0.768 0.809 0.808
F 0.770 0.807 0.384

---

(4)
VASP calculation (GGA-PBE) on a relaxed structure of Ce2AlF.

Values from the calculation:
D(E_F) ... 1.796 states/eV/atom
Uncorrected energy ... -0.1927 hartree per atom
Density ... 6.48 g/cm³
Spin magnetization ... 0.8 Bohr magnetons per cell

a b c (Å): 10.328 10.328 10.328
angles (deg): 17.15 17.15 17.15
Positions (direct):
Ce 0.100 0.100 0.100
Ce 0.900 0.900 0.900
Al 0.000 0.000 0.000
F 0.500 0.500 0.500

---

(5)
VASP calculation (GGA-PBE) on a relaxed structure of CeAl2F8.

Values from the calculation:
D(E_F) ... 0.764 states/eV/atom
Uncorrected energy ... -0.2165 hartree per atom
Density ... 3.73 g/cm³
Spin magnetization ... 1.9 Bohr magnetons per cell

a b c (Å): 6.387 6.387 4.695
angles (deg): 93.52 93.52 53.84
Positions (direct):
Ce 0.000 0.000 0.000
Al 0.271 0.271 0.504
Al 0.729 0.729 0.496
F 0.058 0.611 0.673
F 0.182 0.182 0.799
F 0.378 0.378 0.260
F 0.389 0.942 0.327
F 0.611 0.058 0.673
F 0.622 0.622 0.740
F 0.818 0.818 0.201
F 0.942 0.389 0.327

---

(6)
VASP calculation (GGA-PBE) on a relaxed structure of Ce2AlF.

Values from the calculation:
D(E_F) ... 2.367 states/eV/atom
Uncorrected energy ... -0.2019 hartree per atom
Density ... 6.72 g/cm³
Spin magnetization ... 2.0 Bohr magnetons per cell

a b c (Å): 3.144 3.144 8.157
angles (deg): 90.00 90.00 90.00
Positions (direct):
Ce 0.000 0.000 0.231
Ce 0.000 0.000 0.769
Al 0.500 0.500 0.500
F 0.500 0.500 0.000

---

(7)
VASP calculation (GGA-PBE) on a relaxed structure of Ce2Al8Fe.

Values from the calculation:
D(E_F) ... 0.965 states/eV/atom
DFT formation energy ... -8.1 kcal/mol of atoms
Density ... 4.42 g/cm³
Spin magnetization ... 0.0 Bohr magnetons per cell

a b c (Å): 4.284 4.284 11.287
angles (deg): 90.00 90.00 90.00
Positions (direct):
Ce 0.000 0.000 0.196
Ce 0.000 0.000 0.804
Al 0.000 0.500 0.000
Al 0.000 0.500 0.386
Al 0.000 0.500 0.614
Al 0.500 0.000 0.000
Al 0.500 0.000 0.386
Al 0.500 0.000 0.614
Al 0.500 0.500 0.194
Al 0.500 0.500 0.806
Fe 0.000 0.000 0.500

---

(8)
VASP calculation (GGA-PBE) on a relaxed structure of Ce3AlFe.

Values from the calculation:
D(E_F) ... 2.442 states/eV/atom
DFT formation energy ... -2.1 kcal/mol of atoms
Density ... 6.54 g/cm³
Spin magnetization ... 1.2 Bohr magnetons per cell

a b c (Å): 5.038 5.038 5.038
angles (deg): 90.00 90.00 90.00
Positions (direct):
Ce 0.000 0.000 0.500
Ce 0.000 0.500 0.000
Ce 0.500 0.000 0.000
Al 0.500 0.500 0.500
Fe 0.000 0.000 0.000

---

(9)
VASP calculation (GGA-PBE) on a relaxed structure of Ce2AlFe.

Values from the calculation:
D(E_F) ... 1.487 states/eV/atom
DFT formation energy ... -1.8 kcal/mol of atoms
Density ... 7.12 g/cm³
Spin magnetization ... 0.2 Bohr magnetons per cell

a b c (Å): 3.563 3.563 6.665
angles (deg): 90.00 90.00 90.00
Positions (direct):
Ce 0.000 0.000 0.215
Ce 0.000 0.000 0.785
Al 0.500 0.500 0.500
Fe 0.500 0.500 0.000

---

(10)
VASP calculation (GGA-PBE) on a relaxed structure of CeAl8Fe4.

Values from the calculation:
D(E_F) ... 0.645 states/eV/atom
DFT formation energy ... -9.4 kcal/mol of atoms
Density ... 5.01 g/cm³
Spin magnetization ... 5.2 Bohr magnetons per cell

a b c (Å): 6.674 6.674 6.674
angles (deg): 98.12 98.12 135.85
Positions (direct):
Ce 0.000 0.000 0.000
Al 0.000 0.343 0.343
Al 0.000 0.657 0.657
Al 0.278 0.500 0.778
Al 0.343 0.000 0.343
Al 0.500 0.278 0.778
Al 0.500 0.722 0.222
Al 0.657 0.000 0.657
Al 0.722 0.500 0.222
Fe 0.000 0.000 0.500
Fe 0.000 0.500 0.000
Fe 0.500 0.000 0.000
Fe 0.500 0.500 0.500

---

(11)
VASP calculation (GGA-PBE) on a relaxed structure of CeAl8Fe2.

Values from the calculation:
D(E_F) ... 0.431 states/eV/atom
DFT formation energy ... -9.7 kcal/mol of atoms
Density ... 4.36 g/cm³
Spin magnetization ... 0.0 Bohr magnetons per cell

a b c (Å): 12.409 14.358 3.999
angles (deg): 90.00 90.00 90.00
Positions (direct):
Ce 0.159 0.181 0.000
Ce 0.341 0.681 0.000
Ce 0.659 0.319 0.000
Ce 0.841 0.819 0.000
Al 0.000 0.000 0.000
Al 0.000 0.500 0.500
Al 0.025 0.869 0.500
Al 0.048 0.320 0.500
Al 0.095 0.747 0.000
Al 0.160 0.622 0.500
Al 0.162 0.455 0.000
Al 0.167 0.008 0.500
Al 0.235 0.827 0.500
Al 0.265 0.327 0.500
Al 0.333 0.508 0.500
Al 0.338 0.955 0.000
Al 0.340 0.122 0.500
Al 0.405 0.247 0.000
Al 0.452 0.820 0.500
Al 0.475 0.369 0.500
Al 0.500 0.000 0.500
Al 0.500 0.500 0.000
Al 0.525 0.631 0.500
Al 0.548 0.180 0.500
Al 0.595 0.753 0.000
Al 0.660 0.878 0.500
Al 0.662 0.045 0.000
Al 0.667 0.492 0.500
Al 0.735 0.673 0.500
Al 0.765 0.173 0.500
Al 0.833 0.992 0.500
Al 0.838 0.545 0.000
Al 0.840 0.378 0.500
Al 0.905 0.253 0.000
Al 0.952 0.680 0.500
Al 0.975 0.131 0.500
Fe 0.035 0.594 0.000
Fe 0.151 0.903 0.000
Fe 0.349 0.403 0.000
Fe 0.465 0.094 0.000
Fe 0.535 0.906 0.000
Fe 0.651 0.597 0.000
Fe 0.849 0.097 0.000
Fe 0.965 0.406 0.000

---

(12)
VASP calculation (GGA-PBE) on a relaxed structure of Ce2AlFe.

Values from the calculation:
D(E_F) ... 1.749 states/eV/atom
DFT formation energy ... 8.2 kcal/mol of atoms
Density ... 7.18 g/cm³
Spin magnetization ... 0.8 Bohr magnetons per cell

a b c (Å): 10.825 10.825 10.825
angles (deg): 15.99 15.99 15.99
Positions (direct):
Ce 0.098 0.098 0.098
Ce 0.902 0.902 0.902
Al 0.000 0.000 0.000
Fe 0.500 0.500 0.500

---

(13)
VASP calculation (GGA-PBE) on a relaxed structure of Ce4Al16Fe3.

Values from the calculation:
D(E_F) ... 0.746 states/eV/atom
DFT formation energy ... -9.0 kcal/mol of atoms
Density ... 4.60 g/cm³
Spin magnetization ... 0.0 Bohr magnetons per cell

a b c (Å): 6.097 6.097 11.254
angles (deg): 90.00 90.00 90.00
Positions (direct):
Ce 0.000 0.500 0.194
Ce 0.000 0.500 0.806
Ce 0.500 0.000 0.194
Ce 0.500 0.000 0.806
Al 0.000 0.000 0.195
Al 0.000 0.000 0.805
Al 0.224 0.224 0.000
Al 0.224 0.776 0.000
Al 0.251 0.251 0.386
Al 0.251 0.251 0.614
Al 0.251 0.749 0.386
Al 0.251 0.749 0.614
Al 0.500 0.500 0.215
Al 0.500 0.500 0.785
Al 0.749 0.251 0.386
Al 0.749 0.251 0.614
Al 0.749 0.749 0.386
Al 0.749 0.749 0.614
Al 0.776 0.224 0.000
Al 0.776 0.776 0.000
Fe 0.000 0.500 0.500
Fe 0.500 0.000 0.500
Fe 0.500 0.500 0.000

---

(14)
VASP calculation (GGA-PBE) on a relaxed structure of Ce2Al2Fe15.

Values from the calculation:
D(E_F) ... 1.106 states/eV/atom
DFT formation energy ... -1.7 kcal/mol of atoms
Density ... 7.60 g/cm³
Spin magnetization ... 27.8 Bohr magnetons per cell

a b c (Å): 6.420 6.420 6.420
angles (deg): 81.19 81.19 81.19
Positions (direct):
Ce 0.152 0.152 0.152
Ce 0.848 0.848 0.848
Al 0.399 0.399 0.399
Al 0.601 0.601 0.601
Fe 0.000 0.500 0.500
Fe 0.159 0.159 0.658
Fe 0.159 0.658 0.159
Fe 0.202 0.500 0.798
Fe 0.202 0.798 0.500
Fe 0.342 0.841 0.841
Fe 0.500 0.000 0.500
Fe 0.500 0.202 0.798
Fe 0.500 0.500 0.000
Fe 0.500 0.798 0.202
Fe 0.658 0.159 0.159
Fe 0.798 0.202 0.500
Fe 0.798 0.500 0.202
Fe 0.841 0.342 0.841
Fe 0.841 0.841 0.342

---

(15)
VASP calculation (GGA-PBE) on a relaxed structure of Ce2AlFe.

Values from the calculation:
D(E_F) ... 1.425 states/eV/atom
DFT formation energy ... -4.3 kcal/mol of atoms
Density ... 7.08 g/cm³
Spin magnetization ... 0.0 Bohr magnetons per cell

a b c (Å): 5.628 5.865 11.530
angles (deg): 90.00 116.48 90.00
Positions (direct):
Ce 0.039 0.243 0.104
Ce 0.039 0.257 0.604
Ce 0.349 0.196 0.393
Ce 0.349 0.304 0.893
Ce 0.651 0.696 0.107
Ce 0.651 0.804 0.607
Ce 0.961 0.743 0.396
Ce 0.961 0.757 0.896
Al 0.263 0.742 0.717
Al 0.263 0.758 0.217
Al 0.737 0.242 0.783
Al 0.737 0.258 0.283
Fe 0.444 0.021 0.103
Fe 0.444 0.479 0.603
Fe 0.556 0.521 0.397
Fe 0.556 0.979 0.897

---

(16)
VASP calculation (GGA-PBE) on a relaxed structure of Ce2AlFe2.

Values from the calculation:
D(E_F) ... 1.162 states/eV/atom
DFT formation energy ... -5.1 kcal/mol of atoms
Density ... 7.30 g/cm³
Spin magnetization ... 0.0 Bohr magnetons per cell

a b c (Å): 4.934 4.934 5.628
angles (deg): 115.79 115.79 52.70
Positions (direct):
Ce 0.207 0.207 0.182
Ce 0.793 0.793 0.818
Al 0.000 0.000 0.500
Fe 0.470 0.470 0.245
Fe 0.530 0.530 0.755

---

(17)
VASP calculation (GGA-PBE) on a relaxed structure of CeAl10Fe2.

Values from the calculation:
D(E_F) ... 0.406 states/eV/atom
DFT formation energy ... -8.3 kcal/mol of atoms
Density ... 4.24 g/cm³
Spin magnetization ... 0.4 Bohr magnetons per cell

a b c (Å): 6.772 6.772 8.986
angles (deg): 90.00 90.00 97.71
Positions (direct):
Ce 0.123 0.877 0.750
Ce 0.877 0.123 0.250
Al 0.133 0.412 0.750
Al 0.160 0.840 0.098
Al 0.160 0.840 0.402
Al 0.221 0.479 0.250
Al 0.227 0.227 0.000
Al 0.227 0.227 0.500
Al 0.375 0.625 0.551
Al 0.375 0.625 0.949
Al 0.412 0.133 0.250
Al 0.479 0.221 0.750
Al 0.521 0.779 0.250
Al 0.588 0.867 0.750
Al 0.625 0.375 0.051
Al 0.625 0.375 0.449
Al 0.773 0.773 0.000
Al 0.773 0.773 0.500
Al 0.779 0.521 0.750
Al 0.840 0.160 0.598
Al 0.840 0.160 0.902
Al 0.867 0.588 0.250
Fe 0.000 0.500 0.000
Fe 0.000 0.500 0.500
Fe 0.500 0.000 0.000
Fe 0.500 0.000 0.500

---

(18)
VASP calculation (GGA-PBE) on a relaxed structure of Ce3AlFe.

Values from the calculation:
D(E_F) ... 2.075 states/eV/atom
DFT formation energy ... -2.3 kcal/mol of atoms
Density ... 7.28 g/cm³
Spin magnetization ... 0.0 Bohr magnetons per cell

a b c (Å): 6.561 6.250 11.203
angles (deg): 90.00 90.63 90.00
Positions (direct):
Ce 0.126 0.198 0.439
Ce 0.126 0.802 0.939
Ce 0.208 0.442 0.720
Ce 0.208 0.558 0.220
Ce 0.364 0.245 0.938
Ce 0.364 0.755 0.438
Ce 0.636 0.245 0.562
Ce 0.636 0.755 0.062
Ce 0.792 0.442 0.780
Ce 0.792 0.558 0.280
Ce 0.874 0.198 0.061
Ce 0.874 0.802 0.561
Al 0.302 0.041 0.194
Al 0.302 0.959 0.694
Al 0.698 0.041 0.306
Al 0.698 0.959 0.806
Fe 0.424 0.301 0.361
Fe 0.424 0.699 0.861
Fe 0.576 0.301 0.139
Fe 0.576 0.699 0.639

---

(19)
VASP calculation (GGA-PBE) on a relaxed structure of Ce3AlFe8.

Values from the calculation:
D(E_F) ... 1.216 states/eV/atom
DFT formation energy ... -2.4 kcal/mol of atoms
Density ... 8.30 g/cm³
Spin magnetization ... 11.4 Bohr magnetons per cell

a b c (Å): 8.761 8.761 8.761
angles (deg): 33.15 33.15 33.15
Positions (direct):
Ce 0.000 0.000 0.000
Ce 0.126 0.126 0.126
Ce 0.627 0.627 0.627
Al 0.503 0.503 0.503
Fe 0.062 0.062 0.555
Fe 0.062 0.555 0.062
Fe 0.074 0.565 0.565
Fe 0.314 0.314 0.314
Fe 0.555 0.062 0.062
Fe 0.565 0.074 0.565
Fe 0.565 0.565 0.074
Fe 0.815 0.815 0.815